1.
Sm4YHo2 PBE-GGA optimized geometry; V = 33.13 A^3/atom; energy above the most stable polymorph in this dataset = 0.000 eV/f.u.; DOS(E_F) = 1.592 states/eV per atom
1.0
8.492 -1.777 0.000
8.492 1.777 0.000
-4.332 0.000 7.685
Sm Y Ho
4 1 2
direct
0.138 0.138 0.332
0.204 0.204 0.794
0.796 0.796 0.206
0.862 0.862 0.668
0.500 0.500 0.500
0.430 0.430 0.071
0.570 0.570 0.929

2.
Sm2Y3Ho6 PBE-GGA optimized geometry; V = 33.77 A^3/atom; energy above the most stable polymorph in this dataset = 0.000 eV/f.u.; DOS(E_F) = 1.709 states/eV per atom
1.0
3.055 -5.301 0.000
3.055 5.301 0.000
-2.059 0.000 11.472
Sm Y Ho
2 3 6
direct
0.166 0.834 0.000
0.834 0.166 0.000
0.000 0.000 0.500
0.335 0.665 0.500
0.665 0.335 0.500
0.083 0.417 0.749
0.249 0.249 0.250
0.417 0.083 0.749
0.583 0.917 0.251
0.751 0.751 0.750
0.917 0.583 0.251

3.
SmY6Ho PBE-GGA optimized geometry; V = 34.66 A^3/atom; VASP energy = -5.260 eV per atom; DOS(E_F) = 1.157 states/eV per atom
1.0
6.673 0.000 0.000
-3.315 5.800 0.000
-0.029 -3.829 7.164
Sm Y Ho
1 6 1
direct
0.000 0.000 0.000
0.050 0.798 0.248
0.252 0.803 0.752
0.447 0.500 0.248
0.553 0.500 0.752
0.748 0.197 0.248
0.950 0.202 0.752
0.500 0.000 0.500

4.
Sm3Y2Ho7 PBE-GGA optimized geometry; V = 32.26 A^3/atom; energy above the most stable polymorph in this dataset = 0.000 eV/f.u.; DOS(E_F) = 1.494 states/eV per atom
1.0
6.337 0.000 0.000
0.000 3.516 0.000
-1.881 0.000 17.371
Sm Y Ho
3 2 7
direct
0.000 0.000 0.000
0.049 0.500 0.658
0.951 0.500 0.342
0.443 0.000 0.326
0.557 0.000 0.674
0.229 0.500 0.165
0.246 0.000 0.501
0.275 0.000 0.834
0.500 0.500 0.000
0.725 0.000 0.166
0.754 0.000 0.499
0.771 0.500 0.835

5.
Sm6Y12Ho PBE-GGA optimized geometry; V = 34.00 A^3/atom; energy above the most stable polymorph in this dataset = 1.728 eV/f.u.; DOS(E_F) = 1.837 states/eV per atom
1.0
6.669 3.850 4.193
-6.669 3.850 4.193
0.000 -7.700 4.193
Sm Y Ho
6 12 1
direct
0.159 0.597 0.597
0.403 0.403 0.841
0.403 0.841 0.403
0.597 0.159 0.597
0.597 0.597 0.159
0.841 0.403 0.403
0.000 0.259 0.741
0.000 0.741 0.259
0.147 0.147 0.418
0.147 0.418 0.147
0.259 0.000 0.741
0.259 0.741 0.000
0.418 0.147 0.147
0.582 0.853 0.853
0.741 0.000 0.259
0.741 0.259 0.000
0.853 0.582 0.853
0.853 0.853 0.582
0.500 0.500 0.500

6.
SmYHo4 PBE-GGA optimized geometry; V = 32.43 A^3/atom; energy above the most stable polymorph in this dataset = 0.754 eV/f.u.; DOS(E_F) = 1.633 states/eV per atom
1.0
4.381 -7.340 0.000
4.381 7.340 0.000
-2.332 0.000 6.051
Sm Y Ho
2 2 8
direct
0.003 0.997 0.750
0.997 0.003 0.250
0.414 0.586 0.750
0.586 0.414 0.250
0.105 0.712 0.463
0.170 0.428 0.120
0.288 0.895 0.037
0.428 0.170 0.620
0.572 0.830 0.380
0.712 0.105 0.963
0.830 0.572 0.880
0.895 0.288 0.537

7.
Sm9Y2Ho PBE-GGA optimized geometry; V = 33.19 A^3/atom; energy above the most stable polymorph in this dataset = 0.355 eV/f.u.; DOS(E_F) = 1.253 states/eV per atom
1.0
11.412 0.000 0.000
-5.706 9.883 0.000
0.000 0.000 3.531
Sm Y Ho
9 2 1
direct
0.000 0.500 0.000
0.174 0.348 0.500
0.174 0.826 0.500
0.348 0.174 0.500
0.500 0.000 0.000
0.500 0.500 0.000
0.652 0.826 0.500
0.826 0.174 0.500
0.826 0.652 0.500
0.333 0.667 0.000
0.667 0.333 0.000
0.000 0.000 0.000

8.
SmY3Ho5 PBE-GGA optimized geometry; V = 33.58 A^3/atom; energy above the most stable polymorph in this dataset = 2.098 eV/f.u.; DOS(E_F) = 1.383 states/eV per atom
1.0
9.111 -3.175 0.000
9.111 3.175 0.000
-4.381 0.000 10.447
Sm Y Ho
2 6 10
direct
0.136 0.864 0.750
0.864 0.136 0.250
0.000 0.000 0.000
0.000 0.000 0.500
0.005 0.655 0.130
0.345 0.995 0.370
0.655 0.005 0.630
0.995 0.345 0.870
0.130 0.533 0.788
0.149 0.529 0.488
0.394 0.606 0.250
0.467 0.870 0.712
0.471 0.851 0.012
0.529 0.149 0.988
0.533 0.130 0.288
0.606 0.394 0.750
0.851 0.471 0.512
0.870 0.467 0.212

9.
Sm2Y2Ho7 PBE-GGA optimized geometry; V = 32.93 A^3/atom; energy above the most stable polymorph in this dataset = 0.000 eV/f.u.; DOS(E_F) = 1.179 states/eV per atom
1.0
5.058 -9.890 0.000
5.058 9.890 0.000
0.000 0.000 3.620
Sm Y Ho
2 2 7
direct
0.227 0.227 0.000
0.773 0.773 0.000
0.224 0.776 0.000
0.776 0.224 0.000
0.085 0.915 0.500
0.137 0.461 0.500
0.461 0.137 0.500
0.500 0.500 0.500
0.539 0.863 0.500
0.863 0.539 0.500
0.915 0.085 0.500

10.
Sm6Y2Ho3 PBE-GGA optimized geometry; V = 32.61 A^3/atom; energy above the most stable polymorph in this dataset = 0.000 eV/f.u.; DOS(E_F) = 1.223 states/eV per atom
1.0
1.796 1.037 32.105
-1.796 1.037 32.105
0.000 -2.074 32.105
Sm Y Ho
6 2 3
direct
0.090 0.090 0.090
0.182 0.182 0.182
0.363 0.363 0.363
0.637 0.637 0.637
0.818 0.818 0.818
0.910 0.910 0.910
0.454 0.454 0.454
0.546 0.546 0.546
0.000 0.000 0.000
0.273 0.273 0.273
0.727 0.727 0.727

11.
Sm4Y2Ho5 PBE-GGA optimized geometry; V = 32.22 A^3/atom; energy above the most stable polymorph in this dataset = 0.000 eV/f.u.; DOS(E_F) = 1.361 states/eV per atom
1.0
11.722 -1.785 0.000
11.722 1.785 0.000
-2.172 0.000 8.471
Sm Y Ho
4 2 5
direct
0.045 0.045 0.362
0.318 0.318 0.544
0.682 0.682 0.456
0.955 0.955 0.638
0.137 0.137 0.090
0.863 0.863 0.910
0.227 0.227 0.821
0.409 0.409 0.271
0.500 0.500 0.000
0.591 0.591 0.729
0.773 0.773 0.179

12.
SmY7Ho4 PBE-GGA optimized geometry; V = 32.32 A^3/atom; energy above the most stable polymorph in this dataset = 0.000 eV/f.u.; DOS(E_F) = 1.841 states/eV per atom
1.0
6.516 0.000 0.000
0.943 6.750 0.000
2.103 0.330 8.818
Sm Y Ho
1 7 4
direct
0.000 0.000 0.000
0.000 0.500 0.000
0.190 0.107 0.387
0.318 0.695 0.639
0.485 0.251 0.050
0.515 0.749 0.950
0.682 0.305 0.361
0.810 0.893 0.613
0.161 0.616 0.311
0.359 0.190 0.714
0.641 0.810 0.286
0.839 0.384 0.689

13.
SmY2Ho PBE-GGA optimized geometry; V = 32.38 A^3/atom; energy above the most stable polymorph in this dataset = 0.022 eV/f.u.; DOS(E_F) = 1.504 states/eV per atom
1.0
1.800 1.039 11.544
-1.800 1.039 11.544
0.000 -2.078 11.544
Sm Y Ho
1 2 1
direct
0.000 0.000 0.000
0.582 0.582 0.582
0.750 0.750 0.750
0.166 0.166 0.166

14.
Sm4Y4Ho5 PBE-GGA optimized geometry; V = 32.17 A^3/atom; VASP energy = -5.182 eV per atom; DOS(E_F) = 1.413 states/eV per atom
1.0
-6.442 6.442 2.519
6.442 -6.442 2.519
6.442 6.442 -2.519
Sm Y Ho
4 4 5
direct
0.077 0.616 0.694
0.384 0.077 0.461
0.616 0.923 0.539
0.923 0.384 0.306
0.153 0.229 0.382
0.229 0.847 0.076
0.771 0.153 0.924
0.847 0.771 0.618
0.000 0.000 0.000
0.310 0.462 0.771
0.462 0.690 0.152
0.538 0.310 0.848
0.690 0.538 0.229

15.
Sm10Y6Ho PBE-GGA optimized geometry; V = 33.67 A^3/atom; VASP energy = -5.196 eV per atom; DOS(E_F) = 1.453 states/eV per atom
1.0
9.798 0.000 0.000
-4.899 8.485 0.000
0.000 0.000 6.885
Sm Y Ho
10 6 1
direct
0.000 0.274 0.315
0.000 0.726 0.685
0.274 0.000 0.315
0.274 0.274 0.685
0.333 0.667 0.000
0.333 0.667 0.500
0.667 0.333 0.000
0.667 0.333 0.500
0.726 0.000 0.685
0.726 0.726 0.315
0.000 0.372 0.806
0.000 0.628 0.194
0.372 0.000 0.806
0.372 0.372 0.194
0.628 0.000 0.194
0.628 0.628 0.806
0.000 0.000 0.000

16.
SmYHo2 PBE-GGA optimized geometry; V = 32.47 A^3/atom; energy above the most stable polymorph in this dataset = 0.002 eV/f.u.; DOS(E_F) = 1.760 states/eV per atom
1.0
-1.821 5.675 3.143
1.821 -5.675 3.143
1.821 5.675 -3.143
Sm Y Ho
1 1 2
direct
0.000 0.000 0.000
0.499 0.999 0.500
0.417 0.666 0.750
0.916 0.666 0.250

17.
Sm3YHo6 PBE-GGA optimized geometry; V = 32.44 A^3/atom; energy above the most stable polymorph in this dataset = 0.000 eV/f.u.; DOS(E_F) = 1.357 states/eV per atom
1.0
5.432 -9.392 0.000
5.432 9.392 0.000
0.000 0.000 6.359
Sm Y Ho
6 2 12
direct
0.112 0.888 0.500
0.209 0.436 0.106
0.436 0.209 0.606
0.564 0.791 0.106
0.791 0.564 0.606
0.888 0.112 0.000
0.309 0.691 0.446
0.691 0.309 0.946
0.026 0.446 0.705
0.123 0.214 0.525
0.214 0.123 0.025
0.229 0.771 0.920
0.446 0.026 0.205
0.464 0.536 0.714
0.536 0.464 0.214
0.554 0.974 0.705
0.771 0.229 0.420
0.786 0.877 0.525
0.877 0.786 0.025
0.974 0.554 0.205

18.
Sm4Y3Ho PBE-GGA optimized geometry; V = 33.50 A^3/atom; energy above the most stable polymorph in this dataset = 1.195 eV/f.u.; DOS(E_F) = 1.838 states/eV per atom
1.0
11.805 -1.746 0.000
11.805 1.746 0.000
-1.924 0.000 6.502
Sm Y Ho
4 3 1
direct
0.124 0.124 0.369
0.260 0.260 0.761
0.740 0.740 0.239
0.876 0.876 0.631
0.000 0.000 0.500
0.123 0.123 0.882
0.877 0.877 0.118
0.500 0.500 0.000

19.
Sm12Y2Ho5 PBE-GGA optimized geometry; V = 33.53 A^3/atom; energy above the most stable polymorph in this dataset = 0.000 eV/f.u.; DOS(E_F) = 1.490 states/eV per atom
1.0
7.947 -4.626 0.000
7.947 4.626 0.000
-0.219 0.000 8.665
Sm Y Ho
12 2 5
direct
0.061 0.061 0.341
0.067 0.678 0.328
0.165 0.528 0.761
0.322 0.933 0.672
0.413 0.413 0.117
0.472 0.835 0.239
0.528 0.165 0.761
0.587 0.587 0.883
0.678 0.067 0.328
0.835 0.472 0.239
0.933 0.322 0.672
0.939 0.939 0.659
0.174 0.826 0.000
0.826 0.174 0.000
0.201 0.201 0.022
0.269 0.269 0.431
0.500 0.500 0.500
0.731 0.731 0.569
0.799 0.799 0.978

20.
SmY7Ho3 PBE-GGA optimized geometry; V = 32.88 A^3/atom; energy above the most stable polymorph in this dataset = 0.000 eV/f.u.; DOS(E_F) = 1.739 states/eV per atom
1.0
6.924 0.000 0.000
0.000 5.555 0.000
-3.321 0.000 9.405
Sm Y Ho
1 7 3
direct
0.000 0.000 0.000
0.000 0.000 0.500
0.148 0.500 0.789
0.321 0.500 0.140
0.423 0.000 0.331
0.577 0.000 0.669
0.679 0.500 0.860
0.852 0.500 0.211
0.277 0.500 0.497
0.500 0.000 0.000
0.723 0.500 0.503